Record 1
Below is a relaxed Pr8Co3HBr3 crystal, with properties calculated at the PBE level.

For the calculated volume, the calculation gives 1280.0 Å³ per cell. As for the total energy: -228.8 eV for the cell shown.

It has space group R-3m (No. 166, hexagonal axes), with a = 8.0466 Å, b = 8.0466 Å, c = 22.8272 Å, α = 90.00°, β = 90.00° and γ = 120.00°. The asymmetric unit holds Pr at (0.0000, 0.0000, 0.2321), Pr at (0.0063, 0.5032, 0.7674), Co at (0.0000, 0.5000, 0.5000), H at (0.0000, 0.0000, 0.5000) and Br at (0.0000, 0.5000, 0.0000).

Record 2
Below is a relaxed Pr6Co2HBr3 crystal, with properties calculated at the PBE level.

For the calculated volume, the calculation gives 651.6 Å³ per cell. As for the total energy: -120.2 eV for the cell shown.

It has space group C2/m (No. 12), with a = 6.997 Å, b = 11.959 Å, c = 8.135 Å, α = 90.00°, β = 106.84° and γ = 90.00°. The asymmetric unit holds Pr at (0.222, 0.000, 0.194), Pr at (0.232, 0.330, 0.191), Co at (0.000, 0.166, 0.000), H at (0.000, 0.500, 0.000), Br at (0.000, 0.000, 0.500) and Br at (0.000, 0.331, 0.500).

Record 3
Below is a relaxed CoH2SBr crystal, with properties calculated at the PBE level.

The calculation puts the energy relative to the lowest polymorph listed for this composition at 0 meV per atom. For the calculated volume, the calculation gives 93.1 Å³ per cell.

It has space group P4/mmm (No. 123), with a = 3.405 Å, b = 3.405 Å, c = 8.028 Å, α = 90.00°, β = 90.00° and γ = 90.00°. The asymmetric unit holds Co at (0.000, 0.000, 0.000), H at (0.000, 0.500, 0.500), S at (0.500, 0.500, 0.000) and Br at (0.500, 0.500, 0.500).

Record 4
Below is a relaxed CoH2SBr crystal, with properties calculated at the PBE level.

The calculation puts the energy relative to the lowest polymorph listed for this composition at 45 meV per atom. For the calculated volume, the calculation gives 60.1 Å³ per cell.

It has space group P4/mmm (No. 123), with a = 3.669 Å, b = 3.669 Å, c = 4.462 Å, α = 90.00°, β = 90.00° and γ = 90.00°. The asymmetric unit holds Co at (0.000, 0.000, 0.000), H at (0.000, 0.500, 0.000), S at (0.000, 0.000, 0.500) and Br at (0.500, 0.500, 0.500).

Record 5
Below is a relaxed Co2SbHBr crystal, with properties calculated at the PBE level.

For the calculated volume, the calculation gives 71.4 Å³ per cell. As for the total energy: -19.5 eV for the cell shown.

It has space group P4/mmm (No. 123), with a = 4.634 Å, b = 4.634 Å, c = 3.323 Å, α = 90.00°, β = 90.00° and γ = 90.00°. The asymmetric unit holds Co at (0.000, 0.500, 0.000), Sb at (0.000, 0.000, 0.500), H at (0.500, 0.500, 0.500) and Br at (0.500, 0.500, 0.000).

Record 6
Below is a relaxed Sc2CoHBr crystal, with properties calculated at the PBE level.

For the calculated volume, the calculation gives 106.8 Å³ per cell. As for the total energy: -20.9 eV for the cell shown.

It has space group P4/mmm (No. 123), with a = 5.039 Å, b = 5.039 Å, c = 4.208 Å, α = 90.00°, β = 90.00° and γ = 90.00°. The asymmetric unit holds Sc at (0.000, 0.500, 0.000), Co at (0.000, 0.000, 0.500), H at (0.500, 0.500, 0.500) and Br at (0.000, 0.000, 0.000).

Record 7
Below is a relaxed CoHSeBr2 crystal, with properties calculated at the PBE level.

The calculation puts the energy relative to the lowest polymorph listed for this composition at 216 meV per atom. For the calculated volume, the calculation gives 95.2 Å³ per cell.

It has space group P4/mmm (No. 123), with a = 5.241 Å, b = 5.241 Å, c = 3.466 Å, α = 90.00°, β = 90.00° and γ = 90.00°. The asymmetric unit holds Co at (0.000, 0.000, 0.000), H at (0.500, 0.500, 0.500), Se at (0.500, 0.500, 0.000) and Br at (0.000, 0.500, 0.500).

Record 8
Below is a relaxed CoHSeBr2 crystal, with properties calculated at the PBE level.

The calculation puts the energy relative to the lowest polymorph listed for this composition at 0 meV per atom. For the calculated volume, the calculation gives 115.6 Å³ per cell.

It has space group P4/mmm (No. 123), with a = 5.128 Å, b = 5.128 Å, c = 4.394 Å, α = 90.00°, β = 90.00° and γ = 90.00°. The asymmetric unit holds Co at (0.000, 0.000, 0.000), H at (0.500, 0.500, 0.500), Se at (0.000, 0.000, 0.500) and Br at (0.000, 0.500, 0.000).

Record 9
Below is a relaxed CoH2SeBr crystal, with properties calculated at the PBE level.

For the calculated volume, the calculation gives 77.2 Å³ per cell. As for the total energy: -15.1 eV for the cell shown.

It has space group P4/mmm (No. 123), with a = 3.709 Å, b = 3.709 Å, c = 5.613 Å, α = 90.00°, β = 90.00° and γ = 90.00°. The asymmetric unit holds Co at (0.000, 0.000, 0.000), H at (0.000, 0.500, 0.000), Se at (0.500, 0.500, 0.500) and Br at (0.000, 0.000, 0.500).

Record 10
Below is a relaxed Sm8Co3HBr4 crystal, with properties calculated at the PBE level.

For the calculated volume, the calculation gives 1228.4 Å³ per cell. As for the total energy: -242.8 eV for the cell shown.

It has space group R-3m (No. 166, hexagonal axes), with a = 7.8506 Å, b = 7.8506 Å, c = 23.0208 Å, α = 90.00°, β = 90.00° and γ = 120.00°. The asymmetric unit holds Sm at (0.0000, 0.0000, 0.2302), Sm at (0.0036, 0.5018, 0.7699), Co at (0.0000, 0.5000, 0.5000), H at (0.0000, 0.0000, 0.5000), Br at (0.0000, 0.0000, 0.0000) and Br at (0.0000, 0.5000, 0.0000).

Record 11
Below is a relaxed Sm4CoHBr2 crystal, with properties calculated at the PBE level.

For the calculated volume, the calculation gives 196.4 Å³ per cell. As for the total energy: -38.5 eV for the cell shown.

It has space group P2/m (No. 10), with a = 6.613 Å, b = 3.906 Å, c = 7.915 Å, α = 90.00°, β = 106.11° and γ = 90.00°. The asymmetric unit holds Sm at (0.234, 0.000, 0.193), Sm at (0.260, 0.500, 0.811), Co at (0.500, 0.000, 0.000), H at (0.000, 0.500, 0.000), Br at (0.000, 0.000, 0.500) and Br at (0.500, 0.500, 0.500).

Record 12
Below is a relaxed Tb6Co2HBr3 crystal, with properties calculated at the PBE level.

For the calculated volume, the calculation gives 583.0 Å³ per cell. As for the total energy: -118.7 eV for the cell shown.

It has space group C2/m (No. 12), with a = 6.675 Å, b = 11.558 Å, c = 7.879 Å, α = 90.00°, β = 106.42° and γ = 90.00°. The asymmetric unit holds Tb at (0.223, 0.000, 0.187), Tb at (0.232, 0.331, 0.188), Co at (0.000, 0.167, 0.000), H at (0.000, 0.500, 0.000), Br at (0.000, 0.000, 0.500) and Br at (0.000, 0.333, 0.500).